(1)
VASP calculation (GGA-PBE) on a relaxed structure of Ca3Ga3Ir2.

Properties
Total magnetic moment   0.00 μB per formula unit
Space group   Pnma
Raw total energy   -151.2 eV per cell
Theoretical density   6.69 g/cm³
Energy of formation   -623.0 meV/atom

abc: 8.120 14.979 5.823
angles: 90.00 90.00 90.00
Atoms (fractional coordinates):
1 Ca 0.046 0.108 0.112
2 Ca 0.046 0.392 0.112
3 Ca 0.195 0.250 0.621
4 Ca 0.305 0.750 0.121
5 Ca 0.454 0.608 0.612
6 Ca 0.454 0.892 0.612
7 Ca 0.546 0.108 0.388
8 Ca 0.546 0.392 0.388
9 Ca 0.695 0.250 0.879
10 Ca 0.805 0.750 0.379
11 Ca 0.954 0.608 0.888
12 Ca 0.954 0.892 0.888
13 Ga 0.150 0.750 0.580
14 Ga 0.177 0.039 0.623
15 Ga 0.177 0.461 0.623
16 Ga 0.323 0.539 0.123
17 Ga 0.323 0.961 0.123
18 Ga 0.350 0.250 0.080
19 Ga 0.650 0.750 0.920
20 Ga 0.677 0.039 0.877
21 Ga 0.677 0.461 0.877
22 Ga 0.823 0.539 0.377
23 Ga 0.823 0.961 0.377
24 Ga 0.850 0.250 0.420
25 Ir 0.112 0.600 0.392
26 Ir 0.112 0.900 0.392
27 Ir 0.388 0.100 0.892
28 Ir 0.388 0.400 0.892
29 Ir 0.612 0.600 0.108
30 Ir 0.612 0.900 0.108
31 Ir 0.888 0.100 0.608
32 Ir 0.888 0.400 0.608

(2)
VASP calculation (GGA-PBE) on a relaxed structure of LiPt2Pb2.

Properties
Total magnetic moment   0.00 μB per formula unit
Space group   P4/mbm
Raw total energy   -44.0 eV per cell
Theoretical density   12.46 g/cm³
Energy of formation   -119.9 meV/atom

abc: 7.917 7.917 3.452
angles: 90.00 90.00 90.00
Atoms (fractional coordinates):
1 Li 0.000 0.000 0.000
2 Li 0.500 0.500 0.000
3 Pt 0.139 0.361 0.500
4 Pt 0.361 0.861 0.500
5 Pt 0.639 0.139 0.500
6 Pt 0.861 0.639 0.500
7 Pb 0.158 0.658 0.000
8 Pb 0.342 0.158 0.000
9 Pb 0.658 0.842 0.000
10 Pb 0.842 0.342 0.000

- Which of these has the highest raw total energy?
  LiPt2Pb2